a) LiPWO5 at its PBEsol-relaxed geometry. Source: Alexandria via LeMat-Bulk, functional SCAN.

Geometry as POSCAR:
```
LiPWO5
1.0
7.0801 0.0000 0.0000
3.3296 6.5133 0.0000
0.4006 -0.0934 7.9610
Li P W O
4 4 4 20
direct
0.1957 0.2279 0.4344
0.3009 0.7742 0.0629
0.6991 0.2258 0.9371
0.8043 0.7721 0.5656
0.2258 0.7556 0.4051
0.2740 0.2440 0.0957
0.7260 0.7560 0.9043
0.7742 0.2444 0.5949
0.2489 0.0021 0.7502
0.2505 0.4984 0.7511
0.7495 0.5016 0.2489
0.7511 0.9979 0.2498
0.0630 0.4008 0.1778
0.0799 0.8487 0.2551
0.1314 0.6450 0.5243
0.2436 0.7523 0.8135
0.2465 0.0749 0.9997
0.2481 0.9286 0.4990
0.2603 0.2471 0.6657
0.3722 0.3501 0.9745
0.4203 0.1468 0.2434
0.4373 0.6023 0.3209
0.5627 0.3977 0.6791
0.5797 0.8532 0.7566
0.6278 0.6499 0.0255
0.7397 0.7529 0.3343
0.7519 0.0714 0.5010
0.7535 0.9251 0.0003
0.7564 0.2477 0.1865
0.8686 0.3550 0.4757
0.9201 0.1513 0.7449
0.9370 0.5992 0.8222
```

Calculated values
The calculation puts the spin magnetization at 2.0 μB per formula unit.



b) LiPWO5 at its PBEsol-relaxed geometry. Source: Alexandria via LeMat-Bulk, functional SCAN.

Geometry as POSCAR:
```
LiPWO5
1.0
6.9685 -2.6621 0.0000
6.9685 2.6621 0.0000
-4.3151 0.0000 9.7657
Li P W O
4 4 4 20
direct
0.0000 0.0000 0.0000
0.0000 0.0000 0.5000
0.0000 0.5000 0.0000
0.5000 0.0000 0.5000
0.3749 0.3761 0.8137
0.3761 0.3749 0.3137
0.6239 0.6251 0.6863
0.6251 0.6239 0.1863
0.0000 0.5000 0.5000
0.0019 0.9981 0.2500
0.5000 0.0000 0.0000
0.9981 0.0019 0.7500
0.0823 0.1695 0.4113
0.1695 0.0823 0.9113
0.1945 0.6852 0.8466
0.2085 0.6830 0.3453
0.2951 0.3065 0.1601
0.3065 0.2951 0.6601
0.3121 0.3222 0.4091
0.3148 0.8055 0.6534
0.3170 0.7915 0.1547
0.3222 0.3121 0.9091
0.6778 0.6879 0.0909
0.6830 0.2085 0.8453
0.6852 0.1945 0.3466
0.6879 0.6778 0.5909
0.6935 0.7049 0.3399
0.7049 0.6935 0.8399
0.7915 0.3170 0.6547
0.8055 0.3148 0.1534
0.8305 0.9177 0.0887
0.9177 0.8305 0.5887
```

Calculated values
The calculation puts the spin magnetization at 2.0 μB per formula unit.



Quick one: most stable of them? a)